No. 1
{"formula": "MnCuBr2", "functional": "PBE", "state": "relaxed", "raw_formation_energy_ev_per_atom": 0.144, "sg": "Immm", "lattice_angstrom": [[5.391, 0.030, -0.005], [0.142, 5.389, 0.005], [-1.349, -4.156, 3.157]], "species": ["Cu", "Br", "Br", "Mn"], "frac_coords": [[0.750, 0.250, 0.500], [0.996, 0.996, 0.000], [0.504, 0.504, 0.000], [0.250, 0.750, 0.500]]}

No. 2
{"formula": "Mn2Cu2Br7", "functional": "PBE", "state": "relaxed", "raw_formation_energy_ev_per_atom": -0.517, "sg": "C2/m", "lattice_angstrom": [[6.770, -0.324, -1.256], [-3.560, 5.768, -1.256], [-0.448, -0.760, 10.343]], "species": ["Cu", "Br", "Br", "Br", "Br", "Br", "Br", "Cu", "Mn", "Br", "Mn"], "frac_coords": [[0.491, 0.491, 0.270], [0.493, 0.128, 0.168], [0.507, 0.872, 0.832], [0.128, 0.493, 0.168], [0.500, 0.500, 0.500], [0.872, 0.507, 0.832], [0.246, 0.246, 0.829], [0.509, 0.509, 0.730], [0.334, 0.666, 0.000], [0.754, 0.754, 0.171], [0.666, 0.334, 0.000]]}

No. 3
{"formula": "MnCuBr2", "functional": "PBE", "state": "relaxed", "raw_formation_energy_ev_per_atom": 0.020, "sg": "P2/m", "lattice_angstrom": [[-2.135, 1.127, -2.892], [-1.367, -4.847, -0.879], [-2.705, 5.580, 4.172]], "species": ["Br", "Cu", "Br", "Mn"], "frac_coords": [[0.000, 0.251, 0.506], [0.500, 0.250, 0.250], [0.000, 0.249, 0.994], [0.500, 0.750, 0.750]]}